Record 1
Here is a geometry-optimized TaNiBr structure from Alexandria via LeMat-Bulk. Energies are from GGA-PBEsol.

density: 8.9 g/cm³
energy relative to the elements, uncorrected: 0.14 eV per atom
ΔE to the lowest computed polymorph: 0 meV per atom

Cell lengths 3.2808, 3.2808, 6.4266 Å; angles 90.00, 90.00, 120.00 degrees
Space group P3m1 (No. 156)
Symmetry-distinct sites (fractional):
Ta 0.0000 0.0000 0.0000 (multiplicity 1)
Ni 0.3333 0.6667 0.2258 (multiplicity 1)
Br 0.6667 0.3333 0.7007 (multiplicity 1)

---

Record 2
Here is a geometry-optimized TaNiBr2 structure from Alexandria via LeMat-Bulk. Energies are from GGA-PBEsol.

density: 7.8 g/cm³
energy relative to the elements, uncorrected: 0.34 eV per atom

Cell lengths 3.070, 4.721, 11.707 Å; angles 90.00, 90.00, 90.00 degrees
Space group Imm2 (No. 44)
Symmetry-distinct sites (fractional):
Ta 0.000 0.000 0.000 (multiplicity 2)
Ni 0.000 0.500 0.662 (multiplicity 2)
Br 0.000 0.000 0.527 (multiplicity 2)
Br 0.000 0.500 0.312 (multiplicity 2)

---

Record 3
Here is a geometry-optimized Tb6NiBr10 structure from Alexandria via LeMat-Bulk. Energies are from GGA-PBEsol.

density: 5.8 g/cm³
energy relative to the elements, uncorrected: -1.56 eV per atom

Cell lengths 7.163, 8.962, 8.983 Å; angles 108.04, 97.05, 105.49 degrees
Space group P-1 (No. 2)
Symmetry-distinct sites (fractional):
Tb 0.030 0.202 0.407 (multiplicity 2)
Tb 0.124 0.544 0.252 (multiplicity 2)
Tb 0.361 0.635 0.678 (multiplicity 2)
Ni 0.000 0.500 0.500 (multiplicity 1)
Br 0.086 0.870 0.321 (multiplicity 2)
Br 0.213 0.237 0.146 (multiplicity 2)
Br 0.260 0.583 0.962 (multiplicity 2)
Br 0.361 0.961 0.773 (multiplicity 2)
Br 0.451 0.318 0.588 (multiplicity 2)

---

Record 4
Here is a geometry-optimized TcNiBr structure from Alexandria via LeMat-Bulk. Energies are from GGA-PBEsol.

density: 8.9 g/cm³
energy relative to the elements, uncorrected: 0.54 eV per atom

Cell lengths 2.9446, 2.9446, 5.8646 Å; angles 90.00, 90.00, 120.00 degrees
Space group P3m1 (No. 156)
Symmetry-distinct sites (fractional):
Tc 0.0000 0.0000 0.0000 (multiplicity 1)
Ni 0.6667 0.3333 0.3112 (multiplicity 1)
Br 0.3333 0.6667 0.6587 (multiplicity 1)

---

Record 5
Here is a geometry-optimized NiTeBr structure from Alexandria via LeMat-Bulk. Energies are from GGA-PBEsol.

density: 6.7 g/cm³
energy relative to the elements, uncorrected: -0.23 eV per atom

Cell lengths 3.5578, 3.5578, 6.0624 Å; angles 90.00, 90.00, 120.00 degrees
Space group P3m1 (No. 156)
Symmetry-distinct sites (fractional):
Ni 0.0000 0.0000 0.0000 (multiplicity 1)
Te 0.3333 0.6667 0.7554 (multiplicity 1)
Br 0.6667 0.3333 0.2332 (multiplicity 1)

---

Record 6
Here is a geometry-optimized Ni2Te2Br structure from Alexandria via LeMat-Bulk. Energies are from GGA-PBEsol.

density: 7.3 g/cm³
energy relative to the elements, uncorrected: -0.21 eV per atom

Cell lengths 3.671, 3.671, 15.374 Å; angles 90.00, 90.00, 90.00 degrees
Space group I4/mmm (No. 139)
Symmetry-distinct sites (fractional):
Ni 0.000 0.500 0.250 (multiplicity 4)
Te 0.000 0.000 0.140 (multiplicity 4)
Br 0.000 0.000 0.500 (multiplicity 2)

---

Record 7
Here is a geometry-optimized NiTe2Br structure from Alexandria via LeMat-Bulk. Energies are from GGA-PBEsol.

density: 6.2 g/cm³
energy relative to the elements, uncorrected: -0.04 eV per atom

Cell lengths 4.857, 3.503, 6.623 Å; angles 90.00, 111.27, 90.00 degrees
Space group Pm (No. 6)
Symmetry-distinct sites (fractional):
Ni 0.000 0.000 0.000 (multiplicity 1)
Te 0.391 0.000 0.365 (multiplicity 1)
Te 0.795 0.500 0.171 (multiplicity 1)
Br 0.060 0.500 0.774 (multiplicity 1)

---

Record 8
Here is a geometry-optimized NiTe2Br structure from Alexandria via LeMat-Bulk. Energies are from GGA-PBEsol.

density: 7.1 g/cm³
energy relative to the elements, uncorrected: -0.31 eV per atom

Cell lengths 3.8341, 3.8341, 21.7855 Å; angles 90.00, 90.00, 120.00 degrees
Space group R-3m (No. 166, hexagonal axes)
Symmetry-distinct sites (fractional):
Ni 0.0000 0.0000 0.0000 (multiplicity 3)
Te 0.0000 0.0000 0.2761 (multiplicity 6)
Br 0.0000 0.0000 0.5000 (multiplicity 3)

---

Record 9
Here is a geometry-optimized NiTeBr structure from Alexandria via LeMat-Bulk. Energies are from GGA-PBEsol.

density: 7.2 g/cm³
energy relative to the elements, uncorrected: 0.14 eV per atom

Cell lengths 3.266, 3.266, 11.526 Å; angles 90.00, 90.00, 90.00 degrees
Space group I4mm (No. 107)
Symmetry-distinct sites (fractional):
Ni 0.000 0.000 0.000 (multiplicity 2)
Te 0.000 0.000 0.391 (multiplicity 2)
Br 0.000 0.000 0.659 (multiplicity 2)

---

Record 10
Here is a geometry-optimized NiTe2Br structure from Alexandria via LeMat-Bulk. Energies are from GGA-PBEsol.

density: 6.8 g/cm³
energy relative to the elements, uncorrected: -0.20 eV per atom

Cell lengths 5.039, 3.847, 5.390 Å; angles 90.00, 113.19, 90.00 degrees
Space group P2/m (No. 10)
Symmetry-distinct sites (fractional):
Ni 0.000 0.000 0.000 (multiplicity 1)
Te 0.343 0.500 0.168 (multiplicity 2)
Br 0.000 0.000 0.500 (multiplicity 1)

---

Record 11
Here is a geometry-optimized NiTeBr structure from Alexandria via LeMat-Bulk. Energies are from GGA-PBEsol.

density: 6.7 g/cm³
energy relative to the elements, uncorrected: 0.35 eV per atom

Cell lengths 6.407, 6.407, 6.407 Å; angles 90.00, 90.00, 90.00 degrees
Space group F-43m (No. 216)
Symmetry-distinct sites (fractional):
Ni 0.000 0.000 0.000 (multiplicity 4)
Te 0.250 0.250 0.750 (multiplicity 4)
Br 0.250 0.250 0.250 (multiplicity 4)

---

Record 12
Here is a geometry-optimized Th6NiBr15 structure from Alexandria via LeMat-Bulk. Energies are from GGA-PBEsol.

density: 5.8 g/cm³
energy relative to the elements, uncorrected: -1.48 eV per atom

Cell lengths 11.491, 11.491, 11.491 Å; angles 90.00, 90.00, 90.00 degrees
Space group Im-3m (No. 229)
Symmetry-distinct sites (fractional):
Th 0.000 0.000 0.241 (multiplicity 12)
Ni 0.000 0.000 0.000 (multiplicity 2)
Br 0.000 0.000 0.500 (multiplicity 6)
Br 0.000 0.253 0.253 (multiplicity 24)

---

- Among the records above, which one has the highest energy relative to the elements, uncorrected?
  TcNiBr